--- a ---
A geometry-optimized Tm2SiS structure. Source: Alexandria, functional PBE.

## Properties
The calculation puts the density of states at the Fermi level at 0.62 states/eV/atom. The calculation puts the magnetization at 0.000 μB/f.u.

Cell and atoms, written as CIF:
```
data_Tm2SiS
_cell_length_a 3.9024
_cell_length_b 3.9024
_cell_length_c 20.6899
_cell_angle_alpha 90.00
_cell_angle_beta 90.00
_cell_angle_gamma 120.00
_space_group_name_H-M_alt 'R 3 m'
_space_group_IT_number 160
_space_group_name_Hall 'R 3 -2"'
loop_
_atom_site_label
_atom_site_type_symbol
_atom_site_fract_x
_atom_site_fract_y
_atom_site_fract_z
_atom_site_occupancy
Tm1 Tm 0.0000 0.0000 0.0000 1
Tm2 Tm 0.0000 0.0000 0.1747 1
Si1 Si 0.0000 0.0000 0.5868 1
S1 S 0.0000 0.0000 0.7567 1
```

--- b ---
A geometry-optimized Tm2SiS structure. Source: Alexandria, functional PBE.

## Properties
The calculation puts the density of states at the Fermi level at 0.39 states/eV/atom. The calculation puts the magnetization at 0.000 μB/f.u.

Cell and atoms, written as CIF:
```
data_Tm2SiS
_cell_length_a 3.9539
_cell_length_b 3.9539
_cell_length_c 19.6677
_cell_angle_alpha 90.00
_cell_angle_beta 90.00
_cell_angle_gamma 120.00
_space_group_name_H-M_alt 'R -3 m'
_space_group_IT_number 166
_space_group_name_Hall '-R 3 2"'
loop_
_atom_site_label
_atom_site_type_symbol
_atom_site_fract_x
_atom_site_fract_y
_atom_site_fract_z
_atom_site_occupancy
Tm1 Tm 0.0000 0.0000 0.2491 1
Si1 Si 0.0000 0.0000 0.5000 1
S1 S 0.0000 0.0000 0.0000 1
```

--- c ---
A geometry-optimized Tm2SiS structure. Source: Alexandria, functional PBE.

## Properties
The calculation puts the density of states at the Fermi level at 0.45 states/eV/atom. The calculation puts the magnetization at 0.000 μB/f.u.

Cell and atoms, written as CIF:
```
data_Tm2SiS
_cell_length_a 3.9995
_cell_length_b 21.3483
_cell_length_c 3.8416
_cell_angle_alpha 90.00
_cell_angle_beta 90.00
_cell_angle_gamma 90.00
_space_group_name_H-M_alt 'C m c m'
_space_group_IT_number 63
_space_group_name_Hall '-C 2c 2'
loop_
_atom_site_label
_atom_site_type_symbol
_atom_site_fract_x
_atom_site_fract_y
_atom_site_fract_z
_atom_site_occupancy
Tm1 Tm 0.0000 0.0665 0.2500 1
Tm2 Tm 0.0000 0.3219 0.2500 1
Si1 Si 0.0000 0.4593 0.2500 1
S1 S 0.0000 0.1929 0.2500 1
```

The data favor c; the next most stable structure lies 41 meV/atom above it.

--- a ---
A geometry-optimized USiS structure. Source: Alexandria, functional PBE.

## Properties
The calculation puts the density of states at the Fermi level at 1.50 states/eV/atom. The calculation puts the magnetization at 2.213 μB/f.u.

Cell and atoms, written as CIF:
```
data_USiS
_cell_length_a 3.6776
_cell_length_b 16.2265
_cell_length_c 3.7790
_cell_angle_alpha 90.00
_cell_angle_beta 90.00
_cell_angle_gamma 90.00
_space_group_name_H-M_alt 'C m c m'
_space_group_IT_number 63
_space_group_name_Hall '-C 2c 2'
loop_
_atom_site_label
_atom_site_type_symbol
_atom_site_fract_x
_atom_site_fract_y
_atom_site_fract_z
_atom_site_occupancy
U1 U 0.0000 0.1235 0.2500 1
Si1 Si 0.0000 0.4612 0.2500 1
S1 S 0.0000 0.3061 0.2500 1
```

--- b ---
A geometry-optimized USiS structure. Source: Alexandria, functional PBE.

## Properties
The calculation puts the density of states at the Fermi level at 1.60 states/eV/atom. The calculation puts the magnetization at 2.016 μB/f.u.

Cell and atoms, written as CIF:
```
data_USiS
_cell_length_a 3.7551
_cell_length_b 3.7551
_cell_length_c 8.0568
_cell_angle_alpha 90.00
_cell_angle_beta 90.00
_cell_angle_gamma 90.00
_space_group_name_H-M_alt 'P 4/n m m'
_space_group_IT_number 129
loop_
_space_group_symop_operation_xyz
'x,y,z'
'-x,-y,-z'
'-y+1/2,x,z'
'y+1/2,-x,-z'
'-x+1/2,-y+1/2,z'
'x+1/2,y+1/2,-z'
'y,-x+1/2,z'
'-y,x+1/2,-z'
'x+1/2,-y,-z'
'-x+1/2,y,z'
'-y,-x,-z'
'y,x,z'
'-x,y+1/2,-z'
'x,-y+1/2,z'
'y+1/2,x+1/2,-z'
'-y+1/2,-x+1/2,z'
loop_
_atom_site_label
_atom_site_type_symbol
_atom_site_fract_x
_atom_site_fract_y
_atom_site_fract_z
_atom_site_occupancy
U1 U 0.2500 0.2500 0.2047 1
Si1 Si 0.2500 0.7500 0.5000 1
S1 S 0.2500 0.2500 0.8557 1
```

--- c ---
A geometry-optimized USiS structure. Source: Alexandria, functional PBE.

## Properties
The calculation puts the density of states at the Fermi level at 1.56 states/eV/atom. The calculation puts the magnetization at 0.634 μB/f.u.

Cell and atoms, written as CIF:
```
data_USiS
_cell_length_a 4.0741
_cell_length_b 4.0741
_cell_length_c 7.1489
_cell_angle_alpha 90.00
_cell_angle_beta 90.00
_cell_angle_gamma 90.00
_space_group_name_H-M_alt 'P 4/n m m'
_space_group_IT_number 129
loop_
_space_group_symop_operation_xyz
'x,y,z'
'-x,-y,-z'
'-y+1/2,x,z'
'y+1/2,-x,-z'
'-x+1/2,-y+1/2,z'
'x+1/2,y+1/2,-z'
'y,-x+1/2,z'
'-y,x+1/2,-z'
'x+1/2,-y,-z'
'-x+1/2,y,z'
'-y,-x,-z'
'y,x,z'
'-x,y+1/2,-z'
'x,-y+1/2,z'
'y+1/2,x+1/2,-z'
'-y+1/2,-x+1/2,z'
loop_
_atom_site_label
_atom_site_type_symbol
_atom_site_fract_x
_atom_site_fract_y
_atom_site_fract_z
_atom_site_occupancy
U1 U 0.2500 0.2500 0.2479 1
Si1 Si 0.2500 0.2500 0.6352 1
S1 S 0.2500 0.7500 0.0000 1
```

The data favor b; the next most stable structure lies 239 meV/atom above it.

--- a ---
A geometry-optimized V2Si2S structure. Source: Alexandria, functional PBE.

## Properties
The calculation puts the density of states at the Fermi level at 0.77 states/eV/atom. The calculation puts the magnetization at 0.001 μB/f.u.

Cell and atoms, written as CIF:
```
data_V2Si2S
_cell_length_a 6.4188
_cell_length_b 6.4188
_cell_length_c 3.3961
_cell_angle_alpha 90.00
_cell_angle_beta 90.00
_cell_angle_gamma 90.00
_space_group_name_H-M_alt 'P 4/m b m'
_space_group_IT_number 127
_space_group_name_Hall '-P 4 2ab'
loop_
_atom_site_label
_atom_site_type_symbol
_atom_site_fract_x
_atom_site_fract_y
_atom_site_fract_z
_atom_site_occupancy
V1 V 0.1671 0.3329 0.0000 1
Si1 Si 0.1300 0.6300 0.5000 1
S1 S 0.0000 0.0000 0.0000 1
```

--- b ---
A geometry-optimized V2Si2S structure. Source: Alexandria, functional PBE.

## Properties
The calculation puts the density of states at the Fermi level at 0.87 states/eV/atom. The calculation puts the magnetization at 1.241 μB/f.u.

Cell and atoms, written as CIF:
```
data_V2Si2S
_cell_length_a 3.3114
_cell_length_b 3.3114
_cell_length_c 12.8823
_cell_angle_alpha 90.00
_cell_angle_beta 90.00
_cell_angle_gamma 90.00
_space_group_name_H-M_alt 'I 4/m m m'
_space_group_IT_number 139
_space_group_name_Hall '-I 4 2'
loop_
_atom_site_label
_atom_site_type_symbol
_atom_site_fract_x
_atom_site_fract_y
_atom_site_fract_z
_atom_site_occupancy
V1 V 0.0000 0.0000 0.1026 1
Si1 Si 0.0000 0.5000 0.2500 1
S1 S 0.0000 0.0000 0.5000 1
```

The data favor a; the next most stable structure lies 14 meV/atom above it.